7
Lattice="-2.474 2.474 7.683 2.474 -2.474 7.683 2.474 2.474 -7.683" Properties=species:S:1:pos:R:3 comment="Hf4TaTl2, optimized geometry, DFT PBE-GGA" sg="I4/mmm (139)" n_ef_per_ev_cell=10.28 vol_a3_per_fu=188.10 e_form_ev_per_atom=0.93 e_tot_ev_per_atom=-7.124 total_magnetization_mub_per_cell=0.0 pbc="T T T"
Hf 2.474 0.000 0.000
Hf 0.000 0.000 2.710
Hf 0.000 2.474 0.000
Hf 0.000 0.000 12.655
Ta 0.000 0.000 0.000
Tl 0.000 0.000 5.599
Tl 0.000 0.000 9.767

***

4
Lattice="0.000 3.416 3.416 3.416 0.000 3.416 3.416 3.416 0.000" Properties=species:S:1:pos:R:3 comment="HfTa2Tl, optimized geometry, DFT PBE-GGA" sg="Fm-3m (225)" relative_energy_ev_per_atom=0.0000 n_ef_per_ev_cell=6.68 vol_a3_per_fu=79.72 e_form_ev_per_atom=0.53 e_tot_ev_per_atom=-8.479 total_magnetization_mub_per_cell=0.0 pbc="T T T"
Hf 0.000 0.000 0.000
Ta 1.708 1.708 1.708
Ta 5.124 5.124 5.124
Tl 3.416 3.416 3.416

***

4
Lattice="1.582 0.914 10.485 -1.582 0.914 10.485 0.000 -1.827 10.485" Properties=species:S:1:pos:R:3 comment="TmHf2Ta, optimized geometry, DFT PBE-GGA" sg="R-3m (166)" relative_energy_ev_per_atom=0.0733 n_ef_per_ev_cell=6.52 vol_a3_per_fu=90.95 e_form_ev_per_atom=0.23 e_tot_ev_per_atom=-8.823 total_magnetization_mub_per_cell=0.0 pbc="T T T"
Tm 0.000 0.000 0.000
Hf 0.000 0.000 7.648
Hf 0.000 0.000 23.808
Ta 0.000 0.000 15.728

***

4
Lattice="3.606 0.000 0.000 0.000 3.606 0.000 0.000 0.000 7.091" Properties=species:S:1:pos:R:3 comment="TmHf2Ta, optimized geometry, DFT PBE-GGA" sg="P4/mmm (123)" relative_energy_ev_per_atom=0.0000 n_ef_per_ev_cell=6.26 vol_a3_per_fu=92.21 e_form_ev_per_atom=0.16 e_tot_ev_per_atom=-8.896 total_magnetization_mub_per_cell=0.0 pbc="T T T"
Tm 0.000 0.000 0.000
Hf 1.803 1.803 2.092
Hf 1.803 1.803 4.999
Ta 0.000 0.000 3.545

***

12
Lattice="5.165 0.000 0.000 -2.582 4.473 0.000 0.000 0.000 8.293" Properties=species:S:1:pos:R:3 comment="Hf3TaV8, optimized geometry, DFT PBE-GGA" sg="P3m1 (156)" n_ef_per_ev_cell=21.40 vol_a3_per_fu=191.58 e_form_ev_per_atom=-0.02 e_tot_ev_per_atom=-9.575 total_magnetization_mub_per_cell=0.0 pbc="T T T"
Hf 0.000 0.000 0.000
Hf 0.000 0.000 3.118
Hf 0.000 2.982 7.212
Ta 0.000 2.982 4.141
V -1.260 2.255 1.585
V 1.265 0.730 5.663
V 1.260 2.255 1.585
V 0.000 4.436 1.585
V 2.582 1.491 3.627
V 2.582 1.491 7.763
V 3.900 0.730 5.663
V 2.582 3.012 5.663

***

5
Lattice="4.789 0.000 0.000 0.000 4.789 0.000 0.000 0.000 4.789" Properties=species:S:1:pos:R:3 comment="Hf3TaV, optimized geometry, DFT PBE-GGA" sg="Pm-3m (221)" relative_energy_ev_per_atom=0.0000 n_ef_per_ev_cell=6.98 vol_a3_per_fu=109.81 e_form_ev_per_atom=0.96 e_tot_ev_per_atom=-9.207 total_magnetization_mub_per_cell=0.0 pbc="T T T"
Hf 0.000 0.000 2.394
Hf 0.000 2.394 0.000
Hf 2.394 0.000 0.000
Ta 2.394 2.394 2.394
V 0.000 0.000 0.000

***

Q: What is the formula in the third record?
A: TmHf2Ta